(1)
{
  "formula": "Tl2IrAu",
  "functional": "PBE-GGA",
  "state": "optimized geometry",
  "lattice": [[5.242, -0.033, -0.060], [1.631, 4.982, 0.060], [-3.395, -2.532, 3.090]],
  "species": ["Au", "Ir", "Tl", "Tl"],
  "fractional_positions": [[0.750, 0.250, 0.500], [0.250, 0.750, 0.500], [0.000, 0.000, 0.000], [0.500, 0.500, 0.000]],
  "magmom_total_mub_per_cell": 0.0
}

(2)
{
  "formula": "TlIrAu2",
  "functional": "PBE-GGA",
  "state": "optimized geometry",
  "lattice": [[-1.700, 0.141, -2.405], [-0.587, -1.935, 2.145], [-6.039, 7.020, 4.682]],
  "species": ["Au", "Au", "Ir", "Tl"],
  "fractional_positions": [[0.000, 0.000, 0.022], [0.000, 0.000, 0.478], [0.500, 0.500, 0.250], [0.500, 0.500, 0.750]],
  "magmom_total_mub_per_cell": 0.5
}

(3)
{
  "formula": "Tl2IrAu",
  "functional": "PBE-GGA",
  "state": "optimized geometry",
  "lattice": [[-3.345, -0.727, 2.519], [1.935, -2.708, 1.789], [2.822, 2.254, 4.399]],
  "species": ["Au", "Ir", "Tl", "Tl"],
  "fractional_positions": [[0.000, 0.703, 0.468], [0.500, 0.542, 0.794], [0.000, 0.978, 0.918], [0.500, 0.278, 0.320]],
  "magmom_total_mub_per_cell": 0.0
}

(4)
{
  "formula": "TlIrAu2",
  "functional": "PBE-GGA",
  "state": "optimized geometry",
  "lattice": [[-0.218, 2.995, 2.553], [-3.510, 1.009, -1.483], [-6.464, -4.084, 7.281]],
  "species": ["Tl", "Tl", "Ir", "Ir", "Au", "Au", "Au", "Au"],
  "fractional_positions": [[0.000, 0.000, 0.000], [0.750, 0.250, 0.500], [0.500, 0.500, 0.000], [0.250, 0.750, 0.500], [0.614, 0.125, 0.250], [0.136, 0.625, 0.250], [0.375, 0.386, 0.750], [0.875, 0.864, 0.750]],
  "magmom_total_mub_per_cell": 0.0
}

(5)
{
  "formula": "TlIrAu2",
  "functional": "PBE-GGA",
  "state": "optimized geometry",
  "lattice": [[-1.310, -0.992, 4.417], [2.108, -4.641, -2.922], [2.963, -0.209, 0.851]],
  "species": ["Au", "Au", "Ir", "Tl"],
  "fractional_positions": [[0.000, 0.000, 0.000], [0.500, 0.000, 0.500], [0.000, 0.500, 0.500], [0.500, 0.500, 0.000]],
  "magmom_total_mub_per_cell": 0.0
}

(6)
{
  "formula": "TlIrAu2",
  "functional": "PBE-GGA",
  "state": "optimized geometry",
  "lattice": [[4.982, -0.384, -0.518], [1.822, 4.653, 0.518], [-3.126, -2.575, 2.973]],
  "species": ["Au", "Au", "Ir", "Tl"],
  "fractional_positions": [[0.000, 0.000, 0.000], [0.750, 0.250, 0.500], [0.500, 0.500, 0.000], [0.250, 0.750, 0.500]],
  "magmom_total_mub_per_cell": 0.0
}

(7)
{
  "formula": "Tl2IrAu",
  "functional": "PBE-GGA",
  "state": "optimized geometry",
  "lattice": [[9.164, -0.108, -0.064], [8.613, 3.129, -0.064], [8.613, 1.464, 2.767]],
  "species": ["Au", "Ir", "Tl", "Tl"],
  "fractional_positions": [[0.250, 0.250, 0.250], [0.750, 0.750, 0.750], [0.004, 0.004, 0.004], [0.496, 0.496, 0.496]],
  "magmom_total_mub_per_cell": 0.0
}

(8)
{
  "formula": "Tl2IrAu",
  "functional": "PBE-GGA",
  "state": "optimized geometry",
  "lattice": [[3.999, 0.000, 0.000], [0.000, 3.360, 0.032], [0.000, 3.306, 6.107]],
  "species": ["Au", "Ir", "Tl", "Tl"],
  "fractional_positions": [[0.500, 0.250, 0.250], [0.500, 0.750, 0.750], [0.000, 0.009, 0.993], [0.000, 0.491, 0.507]],
  "magmom_total_mub_per_cell": 0.0
}

(9)
{
  "formula": "Tl2IrAu",
  "functional": "PBE-GGA",
  "state": "optimized geometry",
  "lattice": [[3.383, 0.000, 0.000], [0.000, 5.394, 0.000], [0.000, 0.000, 4.578]],
  "species": ["Au", "Ir", "Tl", "Tl"],
  "fractional_positions": [[0.500, 0.000, 0.500], [0.000, 0.500, 0.500], [0.000, 0.000, 0.000], [0.500, 0.500, 0.000]],
  "magmom_total_mub_per_cell": 0.0
}

(10)
{
  "formula": "TlIrAu2",
  "functional": "PBE-GGA",
  "state": "optimized geometry",
  "lattice": [[4.032, 0.000, 0.000], [0.000, 3.086, 0.058], [0.000, 2.608, 5.999]],
  "species": ["Au", "Au", "Ir", "Tl"],
  "fractional_positions": [[0.000, 0.952, 0.021], [0.500, 0.244, 0.245], [0.000, 0.506, 0.508], [0.500, 0.797, 0.726]],
  "magmom_total_mub_per_cell": 0.0
}

(11)
{
  "formula": "Tl2IrAu",
  "functional": "PBE-GGA",
  "state": "optimized geometry",
  "lattice": [[-6.228, 2.137, 1.950], [-5.820, 1.073, -3.483], [5.246, -3.808, 2.265]],
  "species": ["Au", "Ir", "Tl", "Tl"],
  "fractional_positions": [[0.442, 0.442, 0.000], [0.249, 0.749, 0.500], [0.050, 0.050, 0.000], [0.760, 0.260, 0.500]],
  "magmom_total_mub_per_cell": 0.0
}

(12)
{
  "formula": "TlIrAu2",
  "functional": "PBE-GGA",
  "state": "optimized geometry",
  "lattice": [[-0.763, 2.336, -1.882], [-2.988, -0.423, 0.687], [0.658, 4.999, 5.937]],
  "species": ["Au", "Au", "Ir", "Tl"],
  "fractional_positions": [[0.000, 0.000, 0.017], [0.500, 0.500, 0.261], [0.000, 0.000, 0.491], [0.500, 0.500, 0.730]],
  "magmom_total_mub_per_cell": 0.0
}

(13)
{
  "formula": "Tl2IrAu",
  "functional": "PBE-GGA",
  "state": "optimized geometry",
  "lattice": [[3.301, 0.011, 0.000], [-0.011, 3.301, 0.000], [0.000, 0.000, 8.145]],
  "species": ["Au", "Ir", "Tl", "Tl"],
  "fractional_positions": [[0.000, 0.000, 0.539], [0.500, 0.500, 0.735], [0.000, 0.000, 0.944], [0.500, 0.500, 0.283]],
  "magmom_total_mub_per_cell": 0.0
}

(14)
{
  "formula": "TlIrAu2",
  "functional": "PBE-GGA",
  "state": "optimized geometry",
  "lattice": [[0.000, 3.328, 3.328], [3.328, 0.000, 3.328], [3.328, 3.328, 0.000]],
  "species": ["Tl", "Ir", "Au", "Au"],
  "fractional_positions": [[0.500, 0.500, 0.500], [0.000, 0.000, 0.000], [0.250, 0.250, 0.250], [0.750, 0.750, 0.750]],
  "magmom_total_mub_per_cell": 0.0
}

(15)
{
  "formula": "TlIrAu2",
  "functional": "PBE-GGA",
  "state": "optimized geometry",
  "lattice": [[-0.334, 2.023, -2.133], [-2.343, -1.617, 0.806], [-2.339, 6.776, 6.794]],
  "species": ["Au", "Au", "Ir", "Tl"],
  "fractional_positions": [[0.000, 0.000, 0.013], [0.500, 0.500, 0.258], [0.000, 0.000, 0.492], [0.500, 0.500, 0.737]],
  "magmom_total_mub_per_cell": 0.0
}

(16)
{
  "formula": "TlIrAu2",
  "functional": "PBE-GGA",
  "state": "optimized geometry",
  "lattice": [[9.461, -0.042, -0.024], [8.981, 2.975, -0.024], [8.981, 1.429, 2.610]],
  "species": ["Au", "Au", "Ir", "Tl"],
  "fractional_positions": [[0.996, 0.996, 0.996], [0.247, 0.247, 0.247], [0.502, 0.502, 0.502], [0.755, 0.755, 0.755]],
  "magmom_total_mub_per_cell": 0.0
}

(17)
{
  "formula": "Tl2IrAu",
  "functional": "PBE-GGA",
  "state": "optimized geometry",
  "lattice": [[3.391, 0.000, 0.000], [0.000, 4.295, 0.000], [0.000, 0.000, 5.745]],
  "species": ["Au", "Ir", "Tl", "Tl"],
  "fractional_positions": [[0.000, 0.000, 0.472], [0.500, 0.500, 0.786], [0.000, 0.000, 0.953], [0.500, 0.500, 0.289]],
  "magmom_total_mub_per_cell": 0.0
}

(18)
{
  "formula": "Tl2IrAu",
  "functional": "PBE-GGA",
  "state": "optimized geometry",
  "lattice": [[0.000, 3.439, 3.439], [3.439, 0.000, 3.439], [3.439, 3.439, 0.000]],
  "species": ["Tl", "Tl", "Ir", "Au"],
  "fractional_positions": [[0.250, 0.250, 0.250], [0.750, 0.750, 0.750], [0.000, 0.000, 0.000], [0.500, 0.500, 0.500]],
  "magmom_total_mub_per_cell": 0.0
}

(19)
{
  "formula": "TlIrAu2",
  "functional": "PBE-GGA",
  "state": "optimized geometry",
  "lattice": [[2.973, 0.000, 0.000], [0.000, 2.973, 0.000], [0.000, 0.000, 8.915]],
  "species": ["Au", "Au", "Ir", "Tl"],
  "fractional_positions": [[0.000, 0.000, 0.039], [0.000, 0.000, 0.461], [0.500, 0.500, 0.250], [0.500, 0.500, 0.750]],
  "magmom_total_mub_per_cell": 0.6
}

(20)
{
  "formula": "TlIrAu2",
  "functional": "PBE-GGA",
  "state": "optimized geometry",
  "lattice": [[2.904, 0.000, 0.000], [0.000, 3.617, 0.000], [0.000, 0.000, 7.541]],
  "species": ["Au", "Au", "Ir", "Tl"],
  "fractional_positions": [[0.000, 0.000, 0.042], [0.000, 0.000, 0.458], [0.500, 0.500, 0.250], [0.500, 0.500, 0.750]],
  "magmom_total_mub_per_cell": 0.0
}

Calculated values (meV per atom) of energy relative to the lowest polymorph listed for this composition for the records, taken in order: 187 176 26 144 41 63 163 148 231 66 0 81 104 186 136 119 140 206 123 124.
Calculated values (eV per atom) of energy of formation for the records, taken in order: 0.476 0.474 0.315 0.442 0.340 0.362 0.452 0.438 0.521 0.365 0.289 0.380 0.394 0.484 0.434 0.417 0.430 0.495 0.421 0.422.
Calculated values (states/eV per cell) of D(E_F) for the records, taken in order: 1.756 3.973 1.550 3.888 1.860 1.327 2.853 1.415 1.960 1.424 1.958 1.629 3.071 2.429 2.509 3.325 1.904 3.391 3.608 3.528.